Run a
Ac6TlCd2, relaxed, DFT PBE-GGA; D(E_F) = 1.34 states/eV per atom; calculated density = 8.66 g/cm3
1.0
5.4659 0.0000 1.8200
2.7334 6.8962 0.9087
0.0025 0.0017 9.1103
Ac Tl Cd
6 1 2
direct
0.0189 0.7976 0.1647
0.3496 0.8007 0.5000
0.3165 0.2024 0.1647
0.6835 0.7976 0.8353
0.6504 0.1993 0.5000
0.9811 0.2024 0.8353
0.0000 0.5000 0.5000
0.6667 0.5000 0.1666
0.3333 0.5000 0.8334

Run b
Ac6TlCd2, relaxed, DFT PBE-GGA; D(E_F) = 1.27 states/eV per atom; calculated density = 8.51 g/cm3
1.0
-8.8164 3.3416 -2.2154
-0.8934 -7.2480 6.3618
5.4716 6.9001 4.0315
Cd Tl Ac
4 2 12
direct
0.5000 0.6272 0.1272
0.3619 0.0000 0.3619
0.5000 0.3728 0.8728
0.6381 0.0000 0.6381
0.0000 0.5000 0.5000
0.0000 0.0000 0.0000
0.2774 0.9547 0.6773
0.7226 0.0453 0.3227
0.7999 0.7495 0.5494
0.7226 0.3999 0.6773
0.7999 0.2505 0.0504
0.4464 0.2654 0.1811
0.2001 0.2505 0.4506
0.2001 0.7495 0.9496
0.9157 0.7346 0.1811
0.2774 0.6001 0.3227
0.5536 0.7346 0.8189
0.0843 0.2654 0.8189

Which of them is the most stable? Correct choice: run a.

Run a
AcTmTlCd, relaxed, DFT PBE-GGA; D(E_F) = 1.17 states/eV per atom; calculated density = 9.87 g/cm3
1.0
3.8877 0.0000 0.0000
0.0000 3.8877 0.0000
0.0000 0.0000 7.9333
Cd Ac Tm Tl
1 1 1 1
direct
0.0000 0.0000 0.3941
0.5000 0.5000 0.1114
0.5000 0.5000 0.5998
0.0000 0.0000 0.8226

Run b
AcTmTlCd, relaxed, DFT PBE-GGA; D(E_F) = 1.01 states/eV per atom; calculated density = 9.69 g/cm3
1.0
5.5692 0.0000 0.0000
2.7846 4.8231 0.0000
2.7846 1.6077 4.5472
Cd Tl Ac Tm
1 1 1 1
direct
0.7500 0.7500 0.7500
0.2500 0.2500 0.2500
0.5000 0.5000 0.5000
0.0000 0.0000 0.0000

Which of them is the most stable? Correct choice: run a.

Run a
AcYTlCd, relaxed, DFT PBE-GGA; D(E_F) = 1.21 states/eV per atom; calculated density = 8.47 g/cm3
1.0
-1.5959 -1.0801 5.2560
0.8238 -5.0875 2.1859
3.8484 -0.7391 3.9978
Ac Y Cd Tl
1 1 1 1
direct
0.5000 0.5000 0.5000
0.0000 0.0000 0.0000
0.7500 0.7500 0.7500
0.2500 0.2500 0.2500

Run b
AcYTlCd, relaxed, DFT PBE-GGA; D(E_F) = 1.25 states/eV per atom; calculated density = 8.58 g/cm3
1.0
3.9227 0.0000 0.0000
0.0000 3.9227 0.0000
0.0000 0.0000 7.9543
Tl Y Cd Ac
1 1 1 1
direct
0.0000 0.0000 0.8262
0.5000 0.5000 0.6002
0.0000 0.0000 0.3902
0.5000 0.5000 0.1114

Which of them is the most stable? Correct choice: run b.

Run a
AcYCd4, relaxed, DFT PBE-GGA; D(E_F) = 1.03 states/eV per atom; calculated density = 7.66 g/cm3
1.0
-0.7082 -3.5629 -3.4601
3.6187 -0.5233 3.4351
-4.9068 -3.5234 4.6323
Y Cd Ac
1 4 1
direct
0.0000 0.0000 0.0000
0.3333 0.6667 0.2162
0.3333 0.6667 0.7838
0.6667 0.3333 0.7838
0.6667 0.3333 0.2162
0.0000 0.0000 0.5000

Run b
AcYCd4, relaxed, DFT PBE-GGA; D(E_F) = 0.48 states/eV per atom; calculated density = 8.01 g/cm3
1.0
6.0760 0.0000 0.0000
3.0380 5.2620 0.0000
3.0380 1.7540 4.9610
Cd Y Ac
4 1 1
direct
0.6257 0.6257 0.1230
0.6257 0.1230 0.6257
0.1230 0.6257 0.6257
0.6257 0.6257 0.6257
0.0000 0.0000 0.0000
0.2500 0.2500 0.2500

Which of them is the most stable? Correct choice: run a.

Run a
Ac2YCd, relaxed, DFT PBE-GGA; D(E_F) = 1.25 states/eV per atom; calculated density = 6.80 g/cm3
1.0
3.7790 0.0000 0.0000
1.8895 3.2727 0.0000
1.8895 1.0909 12.9352
Ac Cd Y
2 1 1
direct
0.9104 0.9104 0.2687
0.0896 0.0896 0.7313
0.0000 0.0000 0.0000
0.5000 0.5000 0.5000

Run b
Ac2YCd, relaxed, DFT PBE-GGA; D(E_F) = 1.26 states/eV per atom; calculated density = 7.59 g/cm3
1.0
5.8756 0.0000 0.0000
2.9378 5.0884 0.0000
2.9378 1.6961 4.7974
Ac Cd Y
2 1 1
direct
0.2500 0.2500 0.2500
0.7500 0.7500 0.7500
0.0000 0.0000 0.0000
0.5000 0.5000 0.5000

Which of them is the most stable? Correct choice: run b.

Run a
AcYCd2, relaxed, DFT PBE-GGA; D(E_F) = 1.12 states/eV per atom; calculated density = 7.50 g/cm3
1.0
3.8583 0.0000 0.0000
0.0000 3.8583 0.0000
0.0000 0.0000 8.0412
Ac Y Cd
1 1 2
direct
0.5000 0.5000 0.5000
0.5000 0.5000 0.0000
0.0000 0.0000 0.2155
0.0000 0.0000 0.7845

Run b
AcYCd2, relaxed, DFT PBE-GGA; D(E_F) = 1.18 states/eV per atom; calculated density = 7.39 g/cm3
1.0
-3.5011 -4.0579 -1.4777
-1.2913 -4.0137 3.6235
-5.0969 -0.2155 2.2098
Y Cd Ac
1 2 1
direct
0.0000 0.0000 0.0000
0.2500 0.2500 0.2500
0.7500 0.7500 0.7500
0.5000 0.5000 0.5000

Which of them is the most stable? Correct choice: run a.